[1]
Density functional theory data (GGA-PBE) for KRbAg3 after structural relaxation.

a b c (Å): 5.972 8.049 12.026
angles (deg): 90.00 90.00 90.00
Space group Pnma (No. 62)
Asymmetric unit:
K1 0.000 0.000 0.000
Rb1 0.001 0.250 0.496
Ag1 0.009 0.750 0.231
Ag2 0.243 0.567 0.750

Output
E_tot (eV/cell): -39.66
Energy relative to the lowest polymorph listed for this composition (meV per atom): 0
Magnetic moment (μB per cell): 0.0
Volume (Å³/atom): 28.91
Formation energy (kJ/mol of atoms): 13.56

[2]
Density functional theory data (GGA-PBE) for KRbAg4 after structural relaxation.

a b c (Å): 8.529 8.529 8.529
angles (deg): 90.00 90.00 90.00
Space group F-43m (No. 216)
Asymmetric unit:
K1 0.000 0.000 0.000
Rb1 0.250 0.250 0.250
Ag1 0.125 0.125 0.625

Output
E_tot (eV/cell): -52.74
Magnetic moment (μB per cell): 0.0
Volume (Å³/atom): 25.85
Formation energy (kJ/mol of atoms): 4.57

[3]
Density functional theory data (GGA-PBE) for K11Rb17Ag after structural relaxation.

a b c (Å): 16.615 24.256 14.247
angles (deg): 90.00 125.66 90.00
Space group Cm (No. 8)
Asymmetric unit:
K1 0.000 0.000 0.000
K2 0.061 0.410 0.015
K3 0.270 0.183 0.822
K4 0.340 0.087 0.363
K5 0.466 0.180 0.213
K6 0.494 0.415 0.674
Rb1 0.101 0.191 0.019
Rb2 0.119 0.161 0.423
Rb3 0.123 0.500 0.741
Rb4 0.146 0.500 0.378
Rb5 0.224 0.352 0.626
Rb6 0.284 0.000 0.657
Rb7 0.295 0.000 0.018
Rb8 0.304 0.302 0.346
Rb9 0.325 0.351 0.021
Rb10 0.399 0.500 0.296
Rb11 0.478 0.199 0.690
Ag1 0.327 0.500 0.696

Output
E_tot (eV/cell): -61.67
Magnetic moment (μB per cell): 0.0
Volume (Å³/atom): 80.43
Formation energy (kJ/mol of atoms): 1.79

[4]
Density functional theory data (GGA-PBE) for K6Rb8Ag after structural relaxation.

a b c (Å): 12.6642 12.6642 25.5920
angles (deg): 90.00 90.00 120.00
Space group R-3 (No. 148, hexagonal axes)
Asymmetric unit:
K1 0.0422 0.8110 0.2621
Rb1 0.0000 0.0000 0.4135
Rb2 0.0476 0.8058 0.0862
Ag1 0.0000 0.0000 0.0000

Output
E_tot (eV/cell): -49.54
Magnetic moment (μB per cell): 0.0
Volume (Å³/atom): 78.99
Formation energy (kJ/mol of atoms): 4.28

[5]
Density functional theory data (GGA-PBE) for K4Rb4Ag after structural relaxation.

a b c (Å): 23.599 4.836 15.411
angles (deg): 90.00 130.46 90.00
Space group C2/m (No. 12)
Asymmetric unit:
K1 0.070 0.000 0.199
K2 0.167 0.500 0.051
Rb1 0.076 0.000 0.706
Rb2 0.177 0.500 0.552
Ag1 0.000 0.500 0.000

Output
E_tot (eV/cell): -21.49
Magnetic moment (μB per cell): 0.0
Volume (Å³/atom): 74.34
Formation energy (kJ/mol of atoms): 3.91

[6]
Density functional theory data (GGA-PBE) for KRbAg3 after structural relaxation.

a b c (Å): 6.118 6.118 6.118
angles (deg): 90.00 90.00 90.00
Space group Pm-3m (No. 221)
Asymmetric unit:
K1 0.000 0.000 0.000
Rb1 0.500 0.500 0.500
Ag1 0.000 0.000 0.500

Output
E_tot (eV/cell): -7.75
Energy relative to the lowest polymorph listed for this composition (meV per atom): 434
Magnetic moment (μB per cell): 0.0
Volume (Å³/atom): 45.81
Formation energy (kJ/mol of atoms): 55.45

[7]
Density functional theory data (GGA-PBE) for K4Rb2Ag after structural relaxation.

a b c (Å): 6.676 6.676 22.657
angles (deg): 90.00 90.00 90.00
Space group I4/mmm (No. 139)
Asymmetric unit:
K1 0.000 0.000 0.150
K2 0.000 0.500 0.000
Rb1 0.000 0.000 0.347
Ag1 0.000 0.000 0.000

Output
E_tot (eV/cell): -17.46
Energy relative to the lowest polymorph listed for this composition (meV per atom): 39
Magnetic moment (μB per cell): 0.0
Volume (Å³/atom): 72.14
Formation energy (kJ/mol of atoms): 6.14

[8]
Density functional theory data (GGA-PBE) for KRbAg2 after structural relaxation.

a b c (Å): 5.0627 5.0627 24.7307
angles (deg): 90.00 90.00 120.00
Space group R-3m (No. 166, hexagonal axes)
Asymmetric unit:
K1 0.0000 0.0000 0.0000
Rb1 0.0000 0.0000 0.5000
Ag1 0.0000 0.0000 0.2553

Output
E_tot (eV/cell): -21.58
Energy relative to the lowest polymorph listed for this composition (meV per atom): 122
Magnetic moment (μB per cell): 0.0
Volume (Å³/atom): 45.75
Formation energy (kJ/mol of atoms): 13.89